# Ag2AsW

An optimized crystal structure of Ag2AsW (PBE-GGA, the Alexandria database).

The structure in POSCAR format:
```
Ag2AsW
1.0
-0.223 -3.906 2.670
2.240 -1.820 -2.476
3.067 1.146 1.933
As Ag W
1 2 1
Cartesian
1.009 -2.863 0.097
0.000 0.000 0.000
2.654 -0.337 -0.271
1.422 -1.380 2.302
```

Summary:
Calculated formation energy ... 628 meV/atom
Total energy ... -20.791 eV/cell
M_tot ... 0.0 μB/cell
Space-group type ... P4/mmm, No. 123